Record 1
V2TcRu: relaxed, PBE.

Summary:
- D(E_F) (states/eV/cell) = 4.348
- ΔE to the lowest computed polymorph (kJ/mol of formula units) = 5
- formation enthalpy at 0 K (meV/atom) = -314.8

Unit cell a=4.269 b=4.269 c=4.269 alpha=60.00 beta=60.00 gamma=60.00
Fractional positions:
Ru1 0.500 0.500 0.500
Tc1 0.000 0.000 0.000
V1 0.250 0.250 0.250
V2 0.750 0.750 0.750

=====

Record 2
VTcRu: relaxed, PBE.

Summary:
- D(E_F) (states/eV/cell) = 7.144
- ΔE to the lowest computed polymorph (kJ/mol of formula units) = 353
- formation enthalpy at 0 K (meV/atom) = 1140.4

Unit cell a=4.085 b=5.038 c=5.038 alpha=89.86 beta=90.00 gamma=90.00
Fractional positions:
V1 0.000 0.000 0.000
V2 0.500 0.500 0.500
Tc1 0.000 0.685 0.685
Tc2 0.000 0.315 0.315
Ru1 0.500 0.186 0.814
Ru2 0.500 0.814 0.186

=====

Record 3
V6TcRu2: relaxed, PBE.

Summary:
- D(E_F) (states/eV/cell) = 7.431
- formation enthalpy at 0 K (meV/atom) = 376.7

Unit cell a=4.122 b=5.778 c=7.110 alpha=113.97 beta=106.74 gamma=90.00
Fractional positions:
V1 0.166 0.416 0.333
V2 0.834 0.083 0.667
V3 0.834 0.584 0.667
V4 0.500 0.250 0.000
V5 0.166 0.917 0.333
V6 0.500 0.750 0.000
Tc1 0.000 0.000 0.000
Ru1 0.667 0.667 0.334
Ru2 0.333 0.333 0.666

=====

Record 4
V2TcRu: relaxed, PBE.

Summary:
- D(E_F) (states/eV/cell) = 3.087
- ΔE to the lowest computed polymorph (kJ/mol of formula units) = 0
- formation enthalpy at 0 K (meV/atom) = -328.6

Unit cell a=3.015 b=3.015 c=6.043 alpha=90.00 beta=90.00 gamma=90.00
Fractional positions:
Ru1 0.500 0.500 0.500
Tc1 0.500 0.500 0.000
V1 0.000 0.000 0.756
V2 0.000 0.000 0.244